# 1
Crystalline PaCrS2 at its relaxed geometry, computed with PBE.

Output
* VASP energy: -7.329 eV per atom

abc: 3.4162 3.4162 24.5642
angles: 90.00 90.00 120.00
Space group R-3m (No. 166, hexagonal axes)
Asymmetric unit:
Pa 0.0000 0.0000 0.0000 (multiplicity 3)
Cr 0.0000 0.0000 0.5000 (multiplicity 3)
S 0.0000 0.0000 0.1118 (multiplicity 6)

---

# 2
Crystalline PaCr2S6 at its relaxed geometry, computed with PBE.

Output
* VASP energy: -6.838 eV per atom

abc: 12.111 4.650 8.072
angles: 90.00 124.19 90.00
Space group C2/m (No. 12)
Asymmetric unit:
Pa 0.000 0.000 0.000 (multiplicity 2)
Cr 0.177 0.000 0.586 (multiplicity 4)
S 0.038 0.000 0.706 (multiplicity 4)
S 0.143 0.500 0.080 (multiplicity 4)
S 0.238 0.500 0.618 (multiplicity 4)

---

# 3
Crystalline Pa2CrS5 at its relaxed geometry, computed with PBE.

Output
* VASP energy: -7.522 eV per atom

abc: 7.579 10.913 3.725
angles: 90.00 90.00 90.00
Space group Pbam (No. 55)
Asymmetric unit:
Pa 0.037 0.180 0.000 (multiplicity 4)
Cr 0.000 0.500 0.500 (multiplicity 2)
S 0.000 0.000 0.500 (multiplicity 2)
S 0.169 0.417 0.000 (multiplicity 4)
S 0.173 0.693 0.500 (multiplicity 4)

---

# 4
Crystalline PaCrS3 at its relaxed geometry, computed with PBE.

Output
* energy relative to the lowest polymorph listed for this composition: 0.0769 eV/atom

abc: 6.779 6.428 8.536
angles: 90.00 93.22 90.00
Space group P2_1/c (No. 14)
Asymmetric unit:
Pa 0.210 0.210 0.164 (multiplicity 4)
Cr 0.414 0.745 0.086 (multiplicity 4)
S 0.072 0.683 0.624 (multiplicity 4)
S 0.302 0.035 0.438 (multiplicity 4)
S 0.412 0.557 0.337 (multiplicity 4)

---

# 5
Crystalline PaCr4S8 at its relaxed geometry, computed with PBE.

Output
* VASP energy: -7.124 eV per atom

abc: 6.9994 6.9994 17.9340
angles: 90.00 90.00 120.00
Space group R-3m (No. 166, hexagonal axes)
Asymmetric unit:
Pa 0.0000 0.0000 0.0000 (multiplicity 3)
Cr 0.0000 0.0000 0.5000 (multiplicity 3)
Cr 0.0000 0.5000 0.5000 (multiplicity 9)
S 0.0000 0.0000 0.2384 (multiplicity 6)
S 0.0056 0.5028 0.2398 (multiplicity 18)

---

# 6
Crystalline PaCrS3 at its relaxed geometry, computed with PBE.

Output
* energy relative to the lowest polymorph listed for this composition: 0.0000 eV/atom

abc: 13.501 3.680 9.955
angles: 90.00 127.64 90.00
Space group C2/m (No. 12)
Asymmetric unit:
Pa 0.076 0.000 0.408 (multiplicity 4)
Cr 0.244 0.500 0.137 (multiplicity 4)
S 0.116 0.500 0.663 (multiplicity 4)
S 0.122 0.000 0.947 (multiplicity 4)
S 0.166 0.500 0.306 (multiplicity 4)